# 1
A relaxed structure of SrCu2Cl4, computed with PBE-GGA.

Properties
ΔE_f (raw) = -1259 meV/atom

```
data_SrCu2Cl4
_cell_length_a 9.5485
_cell_length_b 9.5485
_cell_length_c 7.2849
_cell_angle_alpha 90.00
_cell_angle_beta 90.00
_cell_angle_gamma 90.00
_space_group_name_H-M_alt 'I -4 2 d'
_space_group_IT_number 122
_space_group_name_Hall 'I -4 2bw'
loop_
_atom_site_label
_atom_site_fract_x
_atom_site_fract_y
_atom_site_fract_z
Sr1 0.0000 0.0000 0.0000
Cu1 0.0801 0.2500 0.6250
Cl1 0.0404 0.7060 0.8982
```


# 2
A relaxed structure of LiAc2Tl4Pb2, computed with PBE-GGA.

Properties
Energy = -3.332 eV per atom

```
data_LiAc2Tl4Pb2
_cell_length_a 7.1859
_cell_length_b 7.1859
_cell_length_c 10.4138
_cell_angle_alpha 90.00
_cell_angle_beta 90.00
_cell_angle_gamma 90.00
_space_group_name_H-M_alt 'I 4/m m m'
_space_group_IT_number 139
_space_group_name_Hall '-I 4 2'
loop_
_atom_site_label
_atom_site_fract_x
_atom_site_fract_y
_atom_site_fract_z
Li1 0.0000 0.0000 0.0000
Ac1 0.0000 0.5000 0.2500
Tl1 0.2291 0.2291 0.5000
Pb1 0.0000 0.0000 0.2683
```


Taking the records one at a time from the top gives N(E_F) values of 0.000; 10.503 states/eV per cell.
Taking the records one at a time from the top gives magnetic moment values of 0.00; 0.00 Bohr magnetons per cell.
Taking the records one at a time from the top gives volume values of 23.72; 29.87 A^3/atom.